Density functional theory data (GGA+U) for crystalline CoHgIrO6 at its relaxed geometry.

Total DFT energy (no corrections), hartree per atom: -0.199
Space-group type: P312 (149)
Crystal system: trigonal

a = 5.0980 Å, b = 5.0980 Å, c = 4.8711 Å
α = 90.00°, β = 90.00°, γ = 120.00°
Sites, in units of the cell vectors:
Co  0.0000  0.0000  0.0000
Hg  0.6667  0.3333  0.5000
Ir  0.3333  0.6667  0.0000
O  0.0440  0.3286  0.2158
O  0.0440  0.7154  0.7842
O  0.2846  0.3286  0.7842
O  0.2846  0.9560  0.2158
O  0.6714  0.7154  0.2158
O  0.6714  0.9560  0.7842